(1)
Material: BiOsN2O
Method: DFT, PBE
State: relaxed

Lattice parameters (Å, degrees): 3.8787 3.8787 4.2180 90.00 90.00 90.00
Closest atoms and distances in Å follow each position.
Positions (direct):
Bi 0.5000 0.5000 0.5000  4 O 2.74, 8 N 2.87
O 0.0000 0.0000 0.5000  2 Os 2.11
N 0.5000 0.0000 0.0000  2 Os 1.94
N 0.0000 0.5000 0.0000  2 Os 1.94
Os 0.0000 0.0000 0.0000  4 N 1.94, 2 O 2.11

Output
ρ in g/cm3: 11.598
N(E_F) in states/eV/f.u.: 1.224
Formation energy without anion corrections in eV per atom: 0.34

(2)
Material: SrNb2Fe
Method: DFT, PBE
State: relaxed

Lattice parameters (Å, degrees): 5.0967 5.0967 9.1506 73.83 73.83 90.00
Closest atoms and distances in Å follow each position.
Positions (direct):
Nb 0.8750 0.6249 0.7500  2 Fe 2.46, 2 Nb 2.55
Nb 0.3749 0.1250 0.2500  2 Fe 2.46, 2 Nb 2.55
Nb 0.3751 0.6250 0.2500  2 Fe 2.46, 2 Nb 2.55
Nb 0.3750 0.6251 0.7500  2 Fe 2.46, 2 Nb 2.55
Sr 0.0000 0.0000 0.0000  8 Nb 3.54, 4 Fe 3.60
Sr 0.7500 0.2500 0.5000  8 Nb 3.54, 4 Fe 3.60
Fe 0.5000 0.5000 0.0000  4 Nb 2.46
Fe 0.2500 0.7500 0.5000  4 Nb 2.46

Output
E above lowest polymorph in eV per atom: 0.108
ρ in g/cm3: 5.005
E_form in eV per atom: 1.1292
N(E_F) in states/eV/f.u.: 5.625

(3)
Material: BaCoRe2
Method: DFT, PBE
State: relaxed

Lattice parameters (Å, degrees): 4.3760 3.9126 5.8691 74.70 90.00 90.00
Closest atoms and distances in Å follow each position.
Positions (direct):
Re 0.0000 0.9536 0.8690  2 Re 2.37-2.38, 2 Co 2.49
Re 0.0000 0.5464 0.6310  2 Re 2.37-2.38, 2 Co 2.49
Ba 0.5000 0.2500 0.2500  2 Co 3.07
Co 0.5000 0.7500 0.7500  4 Re 2.49

Output
E above lowest polymorph in eV per atom: 0.449
ρ in g/cm3: 9.743
E_form in eV per atom: 0.9460
N(E_F) in states/eV/f.u.: 4.413

(4)
Material: Be2AuCl
Method: DFT, PBE
State: relaxed

Lattice parameters (Å, degrees): 8.0227 8.0227 3.7584 76.47 76.47 21.35
Closest atoms and distances in Å follow each position.
Positions (direct):
Be 0.7882 0.7882 0.5872  4 Au 2.40
Be 0.9148 0.9148 0.9600  2 Cl 2.02
Cl 0.5044 0.5044 0.8700  2 Be 2.02
Au 0.2926 0.2926 0.0828  6 Be 2.39-2.40

Output
E above lowest polymorph in eV per atom: 0.000
ρ in g/cm3: 4.862
N(E_F) in states/eV/f.u.: 0.824
Formation energy without anion corrections in eV per atom: -0.20